{
  "formula": "CsPmLu",
  "functional": "PBE",
  "state": "optimized geometry",
  "cell": [[3.036, 1.753, 4.957], [-3.036, 1.753, 4.957], [0.000, -3.505, 4.957]],
  "species": ["Pm", "Cs", "Lu"],
  "frac_coords": [[0.250, 0.250, 0.250], [0.750, 0.750, 0.750], [0.000, 0.000, 0.000]],
  "crystal_system": "cubic"
}

***

{
  "formula": "CsPrLu",
  "functional": "PBE",
  "state": "optimized geometry",
  "cell": [[0.000, 4.243, 4.243], [4.243, 0.000, 4.243], [4.243, 4.243, 0.000]],
  "species": ["Pr", "Cs", "Lu"],
  "frac_coords": [[0.250, 0.250, 0.250], [0.500, 0.500, 0.500], [0.000, 0.000, 0.000]],
  "crystal_system": "cubic"
}

***

{
  "formula": "CsRbLu",
  "functional": "PBE",
  "state": "optimized geometry",
  "cell": [[0.000, 4.924, 4.924], [4.924, 0.000, 4.924], [4.924, 4.924, 0.000]],
  "species": ["Cs", "Rb", "Lu"],
  "frac_coords": [[0.250, 0.250, 0.250], [0.750, 0.750, 0.750], [0.000, 0.000, 0.000]],
  "crystal_system": "cubic"
}

***

{
  "formula": "CsSmLuS3",
  "functional": "PBE",
  "state": "optimized geometry",
  "cell": [[-4.667, -3.691, 5.633], [3.380, -0.105, -7.464], [8.914, -5.004, 4.107]],
  "species": ["S", "S", "Cs", "Lu", "S", "Sm", "Sm", "S", "S", "S", "Lu", "Cs"],
  "frac_coords": [[0.614, 0.386, 0.555], [0.949, 0.051, 0.750], [0.738, 0.262, 0.250], [0.531, 0.469, 0.750], [0.614, 0.386, 0.945], [0.000, 0.000, 0.000], [0.000, 0.000, 0.500], [0.051, 0.949, 0.250], [0.386, 0.614, 0.445], [0.386, 0.614, 0.055], [0.469, 0.531, 0.250], [0.262, 0.738, 0.750]],
  "crystal_system": "orthorhombic"
}

***

{
  "formula": "CsSrLuS3",
  "functional": "PBE",
  "state": "optimized geometry",
  "cell": [[2.240, -7.932, 0.000], [2.240, 7.932, 0.000], [0.000, 0.000, 12.047]],
  "species": ["S", "Sr", "Lu", "Cs", "S", "S", "S", "S", "S", "Sr", "Cs", "Lu"],
  "frac_coords": [[0.114, 0.886, 0.423], [0.500, 0.500, 0.000], [0.971, 0.029, 0.750], [0.754, 0.246, 0.250], [0.886, 0.114, 0.577], [0.886, 0.114, 0.923], [0.555, 0.445, 0.750], [0.445, 0.555, 0.250], [0.114, 0.886, 0.077], [0.500, 0.500, 0.500], [0.246, 0.754, 0.750], [0.029, 0.971, 0.250]],
  "crystal_system": "orthorhombic"
}

***

{
  "formula": "Cs2TmLuS4",
  "functional": "PBE",
  "state": "optimized geometry",
  "cell": [[4.027, 0.000, 0.000], [-2.013, 3.487, 0.000], [0.000, 0.000, 16.033]],
  "species": ["S", "Lu", "Cs", "Tm", "S", "S", "Cs", "S"],
  "frac_coords": [[0.333, 0.667, 0.589], [0.000, 0.000, 0.500], [0.667, 0.333, 0.750], [0.000, 0.000, 0.000], [0.667, 0.333, 0.411], [0.667, 0.333, 0.090], [0.333, 0.667, 0.250], [0.333, 0.667, 0.910]],
  "crystal_system": "trigonal"
}

***

The records above give, respectively, total energy values of -6.48; -6.50; -3.34; -65.23; -60.23; -41.79 eV per cell.